Fe4Cl5 | PBE | optimized geometry

Cell lengths 8.0014, 8.0014, 6.0313 Å; angles 90.00, 90.00, 120.00 degrees
With the nearest neighbours (Å) after each atom.
Fractional positions:
Fe1 0.0000 0.0000 0.0000  6 Cl 2.40
Fe2 0.0000 0.0000 0.5000  6 Cl 2.40
Fe3 0.0000 0.4848 0.2500  1 Cl 2.25
Fe4 0.0000 0.5152 0.7500  1 Cl 2.25
Fe5 0.4848 0.0000 0.2500  1 Cl 2.25
Fe6 0.4848 0.4848 0.7500  1 Cl 2.25
Fe7 0.5152 0.0000 0.7500  1 Cl 2.25
Fe8 0.5152 0.5152 0.2500  1 Cl 2.25
Cl1 0.0000 0.2340 0.7500  3 Fe 2.25-2.40
Cl2 0.0000 0.7660 0.2500  3 Fe 2.25-2.40
Cl3 0.2340 0.0000 0.7500  3 Fe 2.25-2.40
Cl4 0.2340 0.2340 0.2500  3 Fe 2.25-2.40
Cl5 0.3333 0.6667 0.0000  6 Fe 2.76, 2 Cl 3.02
Cl6 0.3333 0.6667 0.5000  6 Fe 2.76, 2 Cl 3.02
Cl7 0.6667 0.3333 0.0000  6 Fe 2.76, 2 Cl 3.02
Cl8 0.6667 0.3333 0.5000  6 Fe 2.76, 2 Cl 3.02
Cl9 0.7660 0.0000 0.2500  3 Fe 2.25-2.40
Cl10 0.7660 0.7660 0.7500  3 Fe 2.25-2.40

ΔE to the lowest computed polymorph, eV/atom: 0.217
Size of the total moment, μB/f.u.: 13.02
ΔE_f (raw), eV/f.u.: 0.74

InGaTeAs | PBE | optimized geometry

Cell lengths 4.1954, 4.1954, 7.7018 Å; angles 90.00, 90.00, 120.00 degrees
With the nearest neighbours (Å) after each atom.
Fractional positions:
In1 0.0000 0.0000 0.0000  1 Ga 2.70, 3 Te 2.85
Ga1 0.0000 0.0000 0.6489  3 As 2.52, 1 In 2.70
Te1 0.3333 0.6667 0.1953  3 In 2.85
As1 0.6667 0.3333 0.5610  3 Ga 2.52

Size of the total moment, μB/f.u.: 0.00
ΔE_f (raw), eV/f.u.: -0.51

Cs2ZnICl6 | PBE | optimized geometry

Cell lengths 7.8235, 7.8235, 7.8235 Å; angles 118.71, 118.71, 92.25 degrees
With the nearest neighbours (Å) after each atom.
Fractional positions:
Cs1 0.2500 0.7500 0.5000  12 Cl 3.94-3.99
Cs2 0.7500 0.2500 0.5000  12 Cl 3.94-3.99
Zn1 0.0000 0.0000 0.0000  4 Cl 2.35
I1 0.5000 0.5000 0.0000  2 Cl 2.52
Cl1 0.2082 0.2082 0.4164  1 Zn 2.35
Cl2 0.2082 0.7918 0.0000  1 Zn 2.35
Cl3 0.2676 0.2676 0.0000  1 I 2.52
Cl4 0.7324 0.7324 0.0000  1 I 2.52
Cl5 0.7918 0.2082 0.0000  1 Zn 2.35
Cl6 0.7918 0.7918 0.5836  1 Zn 2.35

Size of the total moment, μB/f.u.: 0.00
ΔE_f (raw), eV/f.u.: -11.29

Na9Ag4Hg | PBE | optimized geometry

Cell lengths 9.7038, 9.7038, 9.3614 Å; angles 90.00, 90.00, 120.00 degrees
With the nearest neighbours (Å) after each atom.
Fractional positions:
Na1 0.0799 0.5400 0.2500  2 Ag 3.35, 1 Hg 3.47, 10 Na 3.59-3.69
Na2 0.1869 0.3737 0.5551  1 Hg 3.06, 4 Ag 3.18-3.28, 2 Na 3.31
Na3 0.1869 0.3737 0.9449  1 Hg 3.06, 4 Ag 3.18-3.28, 2 Na 3.31
Na4 0.1869 0.8131 0.5551  1 Hg 3.06, 4 Ag 3.18-3.28, 2 Na 3.31
Na5 0.1869 0.8131 0.9449  1 Hg 3.06, 4 Ag 3.18-3.28, 2 Na 3.31
Na6 0.3737 0.1869 0.0551  1 Hg 3.06, 4 Ag 3.18-3.28, 2 Na 3.31
Na7 0.3737 0.1869 0.4449  1 Hg 3.06, 4 Ag 3.18-3.28, 2 Na 3.31
Na8 0.4600 0.5400 0.2500  2 Ag 3.35, 1 Hg 3.47, 10 Na 3.59-3.69
Na9 0.4600 0.9201 0.2500  2 Ag 3.35, 1 Hg 3.47, 10 Na 3.59-3.69
Na10 0.5400 0.0799 0.7500  2 Ag 3.35, 1 Hg 3.47, 10 Na 3.59-3.69
Na11 0.5400 0.4600 0.7500  2 Ag 3.35, 1 Hg 3.47, 10 Na 3.59-3.69
Na12 0.6263 0.8131 0.5551  1 Hg 3.06, 4 Ag 3.18-3.28, 2 Na 3.31
Na13 0.6263 0.8131 0.9449  1 Hg 3.06, 4 Ag 3.18-3.28, 2 Na 3.31
Na14 0.8131 0.1869 0.0551  1 Hg 3.06, 4 Ag 3.18-3.28, 2 Na 3.31
Na15 0.8131 0.1869 0.4449  1 Hg 3.06, 4 Ag 3.18-3.28, 2 Na 3.31
Na16 0.8131 0.6263 0.0551  1 Hg 3.06, 4 Ag 3.18-3.28, 2 Na 3.31
Na17 0.8131 0.6263 0.4449  1 Hg 3.06, 4 Ag 3.18-3.28, 2 Na 3.31
Na18 0.9201 0.4600 0.7500  2 Ag 3.35, 1 Hg 3.47, 10 Na 3.59-3.69
Ag1 0.0000 0.0000 0.0000  6 Ag 2.92, 6 Na 3.18
Ag2 0.0000 0.0000 0.5000  6 Ag 2.92, 6 Na 3.18
Ag3 0.1038 0.2076 0.2500  4 Ag 2.92-3.02, 2 Na 3.18
Ag4 0.1038 0.8962 0.2500  4 Ag 2.92-3.02, 2 Na 3.18
Ag5 0.2076 0.1038 0.7500  4 Ag 2.92-3.02, 2 Na 3.18
Ag6 0.7924 0.8962 0.2500  4 Ag 2.92-3.02, 2 Na 3.18
Ag7 0.8962 0.1038 0.7500  4 Ag 2.92-3.02, 2 Na 3.18
Ag8 0.8962 0.7924 0.7500  4 Ag 2.92-3.02, 2 Na 3.18
Hg1 0.3333 0.6667 0.7500  6 Na 3.06
Hg2 0.6667 0.3333 0.2500  6 Na 3.06

Calculated formation energy, eV per atom: -0.062
Size of the total moment, μB/f.u.: 0.00

Ir2NO | PBE | optimized geometry

Cell lengths 3.9313, 3.9313, 3.9313 Å; angles 60.00, 60.00, 60.00 degrees
With the nearest neighbours (Å) after each atom.
Fractional positions:
Ir1 0.2500 0.2500 0.2500  4 O 2.41, 4 N 2.41
Ir2 0.7500 0.7500 0.7500  4 O 2.41, 4 N 2.41
N1 0.0000 0.0000 0.0000  8 Ir 2.41
O1 0.5000 0.5000 0.5000  8 Ir 2.41

ΔE to the lowest computed polymorph, eV/atom: 0.785
Size of the total moment, μB/f.u.: 0.00
ΔE_f (raw), eV/f.u.: 5.22

CsLi4Nd3Cl12 | PBE | optimized geometry

Cell lengths 9.2224, 9.2224, 9.2224 Å; angles 108.84, 108.84, 108.84 degrees
With the nearest neighbours (Å) after each atom.
Fractional positions:
Cs1 0.0000 0.0000 0.0000  6 Cl 3.60
Li1 0.0835 0.5000 0.9165  3 Cl 2.33-2.38
Li2 0.5000 0.5000 0.5000  3 Cl 2.28
Li3 0.5000 0.9165 0.0835  3 Cl 2.33-2.38
Li4 0.9165 0.0835 0.5000  3 Cl 2.33-2.38
Nd1 0.0000 0.5766 0.4234  6 Cl 2.78-2.84
Nd2 0.4234 0.0000 0.5766  6 Cl 2.78-2.84
Nd3 0.5766 0.4234 0.0000  6 Cl 2.78-2.84
Cl1 0.0725 0.6579 0.7645  1 Li 2.33
Cl2 0.0750 0.9250 0.5000  1 Li 2.38
Cl3 0.2355 0.3421 0.9275  1 Li 2.33
Cl4 0.3421 0.9275 0.2355  1 Li 2.33
Cl5 0.3483 0.6517 0.5000  1 Li 2.28
Cl6 0.5000 0.0750 0.9250  1 Li 2.38
Cl7 0.5000 0.3483 0.6517  1 Li 2.28
Cl8 0.6517 0.5000 0.3483  1 Li 2.28
Cl9 0.6579 0.7645 0.0725  1 Li 2.33
Cl10 0.7645 0.0725 0.6579  1 Li 2.33
Cl11 0.9250 0.5000 0.0750  1 Li 2.38
Cl12 0.9275 0.2355 0.3421  1 Li 2.33

Size of the total moment, μB/f.u.: 2.01
ΔE_f (raw), eV/f.u.: -38.15

CdTe3H | PBE | optimized geometry

Cell lengths 4.8427, 4.8427, 4.8427 Å; angles 90.00, 90.00, 90.00 degrees
With the nearest neighbours (Å) after each atom.
Fractional positions:
Cd1 0.0000 0.0000 0.0000  12 Te 3.42
Te1 0.0000 0.5000 0.5000  2 H 2.42
Te2 0.5000 0.0000 0.5000  2 H 2.42
Te3 0.5000 0.5000 0.0000  2 H 2.42
H1 0.5000 0.5000 0.5000  6 Te 2.42

ΔE to the lowest computed polymorph, eV/atom: 0.000
Size of the total moment, μB/f.u.: 0.00

Cs7Cd2Hg2 | PBE | optimized geometry

Cell lengths 9.8858, 9.8858, 9.4143 Å; angles 92.78, 92.78, 122.25 degrees
With the nearest neighbours (Å) after each atom.
Fractional positions:
Cs1 0.0000 0.0000 0.0000  2 Hg 3.75
Cs2 0.0708 0.4988 0.2658  1 Hg 3.93, 2 Cd 4.11-4.21
Cs3 0.3869 0.3869 0.7268  1 Hg 3.69
Cs4 0.4988 0.0708 0.2658  1 Hg 3.93, 2 Cd 4.11-4.21
Cs5 0.5012 0.9292 0.7342  1 Hg 3.93, 2 Cd 4.11-4.21
Cs6 0.6131 0.6131 0.2732  1 Hg 3.69
Cs7 0.9292 0.5012 0.7342  1 Hg 3.93, 2 Cd 4.11-4.21
Cd1 0.1075 0.8925 0.5000  2 Hg 3.01
Cd2 0.8925 0.1075 0.5000  2 Hg 3.01
Hg1 0.1969 0.1969 0.3653  2 Cd 3.01
Hg2 0.8031 0.8031 0.6347  2 Cd 3.01

Calculated formation energy, eV per atom: -0.092
Size of the total moment, μB/f.u.: 0.00

LaEr2Ti | PBE | optimized geometry

Cell lengths 11.9895, 11.9895, 11.9895 Å; angles 16.16, 16.16, 16.16 degrees
With the nearest neighbours (Å) after each atom.
Fractional positions:
La1 0.0000 0.0000 0.0000  6 La 3.37, 6 Er 3.57
Er1 0.4178 0.4178 0.4178  1 Ti 2.92
Er2 0.5822 0.5822 0.5822  1 Ti 2.92
Ti1 0.5000 0.5000 0.5000  2 Er 2.92

Calculated formation energy, eV per atom: 0.440
ΔE to the lowest computed polymorph, eV/atom: 0.290
Size of the total moment, μB/f.u.: 1.94

KMgCd2Ag | PBE | optimized geometry

Cell lengths 5.5249, 5.5249, 5.3237 Å; angles 90.00, 90.00, 90.00 degrees
With the nearest neighbours (Å) after each atom.
Fractional positions:
K1 0.0000 0.0000 0.0000  8 Cd 3.84, 4 Ag 3.91
Mg1 0.5000 0.5000 0.5000  2 Ag 2.66, 4 Cd 2.76
Cd1 0.0000 0.5000 0.5000  2 Mg 2.76
Cd2 0.5000 0.0000 0.5000  2 Mg 2.76
Ag1 0.5000 0.5000 0.0000  2 Mg 2.66

Calculated formation energy, eV per atom: 0.151
ΔE to the lowest computed polymorph, eV/atom: 0.113
Size of the total moment, μB/f.u.: 0.00

B2C | PBE | optimized geometry

Cell lengths 2.6557, 2.6557, 15.7701 Å; angles 90.00, 90.00, 120.00 degrees
With the nearest neighbours (Å) after each atom.
Fractional positions:
B1 0.0000 0.0000 0.0000  4 B 1.68-1.86
B2 0.0000 0.0000 0.1066  4 B 1.68-1.86
B3 0.0000 0.0000 0.6464  4 C 1.66-1.69
B4 0.3333 0.6667 0.1733  1 C 1.57
B5 0.3333 0.6667 0.7903  4 C 1.56-1.69
B6 0.6667 0.3333 0.2808  3 C 1.54
B7 0.6667 0.3333 0.5314  3 C 1.54
B8 0.6667 0.3333 0.9334  1 C 1.54
C1 0.0000 0.0000 0.5414  4 B 1.54-1.66
C2 0.3333 0.6667 0.2727  4 B 1.54-1.57
C3 0.3333 0.6667 0.6912  4 B 1.56-1.69
C4 0.6667 0.3333 0.8358  4 B 1.54-1.69

Calculated formation energy, eV per atom: 0.392
ΔE to the lowest computed polymorph, eV/atom: 0.207
Size of the total moment, μB/f.u.: 0.00

FeRe2Hg | PBE | optimized geometry

Cell lengths 3.1890, 4.3186, 4.5277 Å; angles 90.00, 90.00, 90.00 degrees
With the nearest neighbours (Å) after each atom.
Fractional positions:
Fe1 0.0000 0.0000 0.0000  4 Hg 2.68, 4 Re 2.77
Re1 0.0000 0.5000 0.5000  4 Re 2.68, 4 Hg 2.77
Re2 0.5000 0.0000 0.5000  4 Re 2.68, 4 Fe 2.77
Hg1 0.5000 0.5000 0.0000  4 Fe 2.68, 4 Re 2.77

Calculated formation energy, eV per atom: 0.719
ΔE to the lowest computed polymorph, eV/atom: 0.349
Size of the total moment, μB/f.u.: 2.58

What did the fourth record say?
Na9Ag4Hg | PBE | optimized geometry

Cell lengths 9.7038, 9.7038, 9.3614 Å; angles 90.00, 90.00, 120.00 degrees
With the nearest neighbours (Å) after each atom.
Fractional positions:
Na1 0.0799 0.5400 0.2500  2 Ag 3.35, 1 Hg 3.47, 10 Na 3.59-3.69
Na2 0.1869 0.3737 0.5551  1 Hg 3.06, 4 Ag 3.18-3.28, 2 Na 3.31
Na3 0.1869 0.3737 0.9449  1 Hg 3.06, 4 Ag 3.18-3.28, 2 Na 3.31
Na4 0.1869 0.8131 0.5551  1 Hg 3.06, 4 Ag 3.18-3.28, 2 Na 3.31
Na5 0.1869 0.8131 0.9449  1 Hg 3.06, 4 Ag 3.18-3.28, 2 Na 3.31
Na6 0.3737 0.1869 0.0551  1 Hg 3.06, 4 Ag 3.18-3.28, 2 Na 3.31
Na7 0.3737 0.1869 0.4449  1 Hg 3.06, 4 Ag 3.18-3.28, 2 Na 3.31
Na8 0.4600 0.5400 0.2500  2 Ag 3.35, 1 Hg 3.47, 10 Na 3.59-3.69
Na9 0.4600 0.9201 0.2500  2 Ag 3.35, 1 Hg 3.47, 10 Na 3.59-3.69
Na10 0.5400 0.0799 0.7500  2 Ag 3.35, 1 Hg 3.47, 10 Na 3.59-3.69
Na11 0.5400 0.4600 0.7500  2 Ag 3.35, 1 Hg 3.47, 10 Na 3.59-3.69
Na12 0.6263 0.8131 0.5551  1 Hg 3.06, 4 Ag 3.18-3.28, 2 Na 3.31
Na13 0.6263 0.8131 0.9449  1 Hg 3.06, 4 Ag 3.18-3.28, 2 Na 3.31
Na14 0.8131 0.1869 0.0551  1 Hg 3.06, 4 Ag 3.18-3.28, 2 Na 3.31
Na15 0.8131 0.1869 0.4449  1 Hg 3.06, 4 Ag 3.18-3.28, 2 Na 3.31
Na16 0.8131 0.6263 0.0551  1 Hg 3.06, 4 Ag 3.18-3.28, 2 Na 3.31
Na17 0.8131 0.6263 0.4449  1 Hg 3.06, 4 Ag 3.18-3.28, 2 Na 3.31
Na18 0.9201 0.4600 0.7500  2 Ag 3.35, 1 Hg 3.47, 10 Na 3.59-3.69
Ag1 0.0000 0.0000 0.0000  6 Ag 2.92, 6 Na 3.18
Ag2 0.0000 0.0000 0.5000  6 Ag 2.92, 6 Na 3.18
Ag3 0.1038 0.2076 0.2500  4 Ag 2.92-3.02, 2 Na 3.18
Ag4 0.1038 0.8962 0.2500  4 Ag 2.92-3.02, 2 Na 3.18
Ag5 0.2076 0.1038 0.7500  4 Ag 2.92-3.02, 2 Na 3.18
Ag6 0.7924 0.8962 0.2500  4 Ag 2.92-3.02, 2 Na 3.18
Ag7 0.8962 0.1038 0.7500  4 Ag 2.92-3.02, 2 Na 3.18
Ag8 0.8962 0.7924 0.7500  4 Ag 2.92-3.02, 2 Na 3.18
Hg1 0.3333 0.6667 0.7500  6 Na 3.06
Hg2 0.6667 0.3333 0.2500  6 Na 3.06

Calculated formation energy, eV per atom: -0.062
Size of the total moment, μB/f.u.: 0.00

Repeat the fourth record exactly.
Na9Ag4Hg | PBE | optimized geometry

Cell lengths 9.7038, 9.7038, 9.3614 Å; angles 90.00, 90.00, 120.00 degrees
With the nearest neighbours (Å) after each atom.
Fractional positions:
Na1 0.0799 0.5400 0.2500  2 Ag 3.35, 1 Hg 3.47, 10 Na 3.59-3.69
Na2 0.1869 0.3737 0.5551  1 Hg 3.06, 4 Ag 3.18-3.28, 2 Na 3.31
Na3 0.1869 0.3737 0.9449  1 Hg 3.06, 4 Ag 3.18-3.28, 2 Na 3.31
Na4 0.1869 0.8131 0.5551  1 Hg 3.06, 4 Ag 3.18-3.28, 2 Na 3.31
Na5 0.1869 0.8131 0.9449  1 Hg 3.06, 4 Ag 3.18-3.28, 2 Na 3.31
Na6 0.3737 0.1869 0.0551  1 Hg 3.06, 4 Ag 3.18-3.28, 2 Na 3.31
Na7 0.3737 0.1869 0.4449  1 Hg 3.06, 4 Ag 3.18-3.28, 2 Na 3.31
Na8 0.4600 0.5400 0.2500  2 Ag 3.35, 1 Hg 3.47, 10 Na 3.59-3.69
Na9 0.4600 0.9201 0.2500  2 Ag 3.35, 1 Hg 3.47, 10 Na 3.59-3.69
Na10 0.5400 0.0799 0.7500  2 Ag 3.35, 1 Hg 3.47, 10 Na 3.59-3.69
Na11 0.5400 0.4600 0.7500  2 Ag 3.35, 1 Hg 3.47, 10 Na 3.59-3.69
Na12 0.6263 0.8131 0.5551  1 Hg 3.06, 4 Ag 3.18-3.28, 2 Na 3.31
Na13 0.6263 0.8131 0.9449  1 Hg 3.06, 4 Ag 3.18-3.28, 2 Na 3.31
Na14 0.8131 0.1869 0.0551  1 Hg 3.06, 4 Ag 3.18-3.28, 2 Na 3.31
Na15 0.8131 0.1869 0.4449  1 Hg 3.06, 4 Ag 3.18-3.28, 2 Na 3.31
Na16 0.8131 0.6263 0.0551  1 Hg 3.06, 4 Ag 3.18-3.28, 2 Na 3.31
Na17 0.8131 0.6263 0.4449  1 Hg 3.06, 4 Ag 3.18-3.28, 2 Na 3.31
Na18 0.9201 0.4600 0.7500  2 Ag 3.35, 1 Hg 3.47, 10 Na 3.59-3.69
Ag1 0.0000 0.0000 0.0000  6 Ag 2.92, 6 Na 3.18
Ag2 0.0000 0.0000 0.5000  6 Ag 2.92, 6 Na 3.18
Ag3 0.1038 0.2076 0.2500  4 Ag 2.92-3.02, 2 Na 3.18
Ag4 0.1038 0.8962 0.2500  4 Ag 2.92-3.02, 2 Na 3.18
Ag5 0.2076 0.1038 0.7500  4 Ag 2.92-3.02, 2 Na 3.18
Ag6 0.7924 0.8962 0.2500  4 Ag 2.92-3.02, 2 Na 3.18
Ag7 0.8962 0.1038 0.7500  4 Ag 2.92-3.02, 2 Na 3.18
Ag8 0.8962 0.7924 0.7500  4 Ag 2.92-3.02, 2 Na 3.18
Hg1 0.3333 0.6667 0.7500  6 Na 3.06
Hg2 0.6667 0.3333 0.2500  6 Na 3.06

Calculated formation energy, eV per atom: -0.062
Size of the total moment, μB/f.u.: 0.00

> Which value of size of the total moment does entry 8 give?

0.00 μB/f.u.